Pr2Zn5Sn | PBE | relaxed

* DOS at the Fermi energy: 0.580 states/eV/atom
* formation energy: -42.5 kJ/mol of atoms
* energy: -23.46 eV per formula unit

Cell and atoms, written as POSCAR:
```
Pr2Zn5Sn
1.0
2.2569 -8.3207 0.0000
2.2569 8.3207 0.0000
0.0000 0.0000 9.0872
Pr Zn Sn
4 10 2
Direct
0.0000 0.0000 0.0000 Pr
0.0000 0.0000 0.5000 Pr
0.2063 0.7937 0.7500 Pr
0.7937 0.2063 0.2500 Pr
0.1847 0.8153 0.1083 Zn
0.1847 0.8153 0.3917 Zn
0.3434 0.6566 0.0159 Zn
0.3434 0.6566 0.4841 Zn
0.3957 0.6043 0.7500 Zn
0.6043 0.3957 0.2500 Zn
0.6566 0.3434 0.5159 Zn
0.6566 0.3434 0.9841 Zn
0.8153 0.1847 0.6083 Zn
0.8153 0.1847 0.8917 Zn
0.4443 0.5557 0.2500 Sn
0.5557 0.4443 0.7500 Sn
```


PrZn3Sn3 | PBE | relaxed

* DOS at the Fermi energy: 0.340 states/eV/atom
* formation energy: 16.7 kJ/mol of atoms
* energy: -19.40 eV per formula unit

Cell and atoms, written as POSCAR:
```
PrZn3Sn3
1.0
7.3373 0.0000 0.0000
0.0000 7.3373 0.0000
0.0000 0.0000 7.3373
Pr Zn Sn
2 6 6
Direct
0.0000 0.0000 0.0000 Pr
0.5000 0.5000 0.5000 Pr
0.0000 0.2500 0.5000 Zn
0.0000 0.7500 0.5000 Zn
0.2500 0.5000 0.0000 Zn
0.5000 0.0000 0.2500 Zn
0.5000 0.0000 0.7500 Zn
0.7500 0.5000 0.0000 Zn
0.0000 0.5000 0.2500 Sn
0.0000 0.5000 0.7500 Sn
0.2500 0.0000 0.5000 Sn
0.5000 0.2500 0.0000 Sn
0.5000 0.7500 0.0000 Sn
0.7500 0.0000 0.5000 Sn
```


PrZnSn3 | PBE | relaxed

* DOS at the Fermi energy: 0.321 states/eV/atom
* formation energy: -34.5 kJ/mol of atoms
* energy: -19.85 eV per formula unit

Cell and atoms, written as POSCAR:
```
PrZnSn3
1.0
12.8663 0.0000 0.0000
0.0000 6.3435 0.0000
0.0000 0.0000 6.3172
Pr Zn Sn
4 4 12
Direct
0.1960 0.0075 0.2500 Pr
0.1960 0.4925 0.7500 Pr
0.8040 0.5075 0.2500 Pr
0.8040 0.9925 0.7500 Pr
0.3836 0.2500 0.0000 Zn
0.3836 0.2500 0.5000 Zn
0.6164 0.7500 0.0000 Zn
0.6164 0.7500 0.5000 Zn
0.9997 0.2500 0.0000 Sn
0.9997 0.2500 0.5000 Sn
0.0003 0.7500 0.0000 Sn
0.0003 0.7500 0.5000 Sn
0.2561 0.5156 0.2500 Sn
0.2561 0.9844 0.7500 Sn
0.4400 0.6497 0.7500 Sn
0.4400 0.8503 0.2500 Sn
0.5600 0.1497 0.7500 Sn
0.5600 0.3503 0.2500 Sn
0.7439 0.0156 0.2500 Sn
0.7439 0.4844 0.7500 Sn
```


Pr2ZnSn | PBE | relaxed

* DOS at the Fermi energy: 1.370 states/eV/atom
* formation energy: -50.9 kJ/mol of atoms
* energy: -16.95 eV per formula unit

Cell and atoms, written as POSCAR:
```
Pr2ZnSn
1.0
6.3417 0.0000 0.0000
0.0000 4.3910 0.0000
-3.1008 0.0000 8.3274
Pr Zn Sn
4 2 2
Direct
0.2127 0.2500 0.4136 Pr
0.2139 0.2500 0.9427 Pr
0.7861 0.7500 0.0573 Pr
0.7873 0.7500 0.5864 Pr
0.3666 0.7500 0.2145 Zn
0.6334 0.2500 0.7855 Zn
0.3399 0.7500 0.7082 Sn
0.6601 0.2500 0.2918 Sn
```


PrZn2Sn | PBE | relaxed

* DOS at the Fermi energy: 0.438 states/eV/atom
* formation energy: -32.0 kJ/mol of atoms
* energy: -12.66 eV per formula unit

Cell and atoms, written as POSCAR:
```
PrZn2Sn
1.0
4.5162 0.0000 0.0000
-2.2581 3.9111 0.0000
0.0000 0.0000 15.8290
Pr Zn Sn
3 6 3
Direct
0.0000 0.0000 0.0000 Pr
0.3333 0.6667 0.6667 Pr
0.6667 0.3333 0.3333 Pr
0.0000 0.0000 0.2287 Zn
0.0000 0.0000 0.7713 Zn
0.3333 0.6667 0.4379 Zn
0.3333 0.6667 0.8954 Zn
0.6667 0.3333 0.1046 Zn
0.6667 0.3333 0.5621 Zn
0.0000 0.0000 0.5000 Sn
0.3333 0.6667 0.1667 Sn
0.6667 0.3333 0.8333 Sn
```


PrZnSn | PBE | relaxed

* DOS at the Fermi energy: 0.580 states/eV/atom
* formation energy: -44.4 kJ/mol of atoms
* energy: -11.44 eV per formula unit

Cell and atoms, written as POSCAR:
```
PrZnSn
1.0
6.8056 0.0000 0.0000
0.0000 6.8056 0.0000
0.0000 0.0000 6.8056
Pr Zn Sn
4 4 4
Direct
0.0000 0.0000 0.0000 Pr
0.0000 0.5000 0.5000 Pr
0.5000 0.0000 0.5000 Pr
0.5000 0.5000 0.0000 Pr
0.2500 0.2500 0.7500 Zn
0.2500 0.7500 0.2500 Zn
0.7500 0.2500 0.2500 Zn
0.7500 0.7500 0.7500 Zn
0.0000 0.0000 0.5000 Sn
0.0000 0.5000 0.0000 Sn
0.5000 0.0000 0.0000 Sn
0.5000 0.5000 0.5000 Sn
```


Pr2Zn3Sn | PBE | relaxed

* DOS at the Fermi energy: 0.698 states/eV/atom
* formation energy: -47.1 kJ/mol of atoms
* energy: -20.31 eV per formula unit

Cell and atoms, written as POSCAR:
```
Pr2Zn3Sn
1.0
0.0000 4.6276 8.0030
3.8660 0.0000 8.0030
3.8660 4.6276 0.0000
Pr Zn Sn
4 6 2
Direct
0.2416 0.7584 0.7584 Pr
0.2500 0.2500 0.2500 Pr
0.7500 0.7500 0.7500 Pr
0.7584 0.2416 0.2416 Pr
0.1619 0.1619 0.8381 Zn
0.1650 0.6753 0.3247 Zn
0.3247 0.8350 0.1650 Zn
0.6753 0.1650 0.8350 Zn
0.8350 0.3247 0.6753 Zn
0.8381 0.8381 0.1619 Zn
0.3346 0.3346 0.6654 Sn
0.6654 0.6654 0.3346 Sn
```


PrZnSn | PBE | relaxed

* DOS at the Fermi energy: 0.806 states/eV/atom
* formation energy: -32.1 kJ/mol of atoms
* energy: -11.05 eV per formula unit

Cell and atoms, written as POSCAR:
```
PrZnSn
1.0
3.6010 0.0000 0.0000
0.0000 3.6010 0.0000
0.0000 0.0000 11.6813
Pr Zn Sn
2 2 2
Direct
0.0000 0.0000 0.0000 Pr
0.5000 0.5000 0.5000 Pr
0.0000 0.0000 0.3328 Zn
0.5000 0.5000 0.8328 Zn
0.0000 0.0000 0.7009 Sn
0.5000 0.5000 0.2009 Sn
```